KBa2Cu | Alexandria via LeMat-Bulk | PBEsol | relaxed; total DFT energy (no corrections) = -7.9 eV for the cell shown; ΔE_f = 469 meV per atom; D(E_F) = 5.5 states/eV/cell
1.0
0.000 4.220 4.220
4.220 0.000 4.220
4.220 4.220 0.000
K Ba Cu
1 2 1
direct
0.000 0.000 0.000
0.500 0.500 0.500
0.750 0.750 0.750
0.250 0.250 0.250

***

KBa3Cu | Alexandria via LeMat-Bulk | PBEsol | relaxed; total DFT energy (no corrections) = -6.6 eV for the cell shown; ΔE_f = 1063 meV per atom; D(E_F) = 6.9 states/eV/cell
1.0
6.594 0.000 0.000
0.000 6.594 0.000
0.000 0.000 6.594
K Ba Cu
1 3 1
direct
0.000 0.000 0.000
0.000 0.000 0.500
0.000 0.500 0.000
0.500 0.000 0.000
0.500 0.500 0.500

***

KBa2Cu2 | Alexandria via LeMat-Bulk | PBEsol | relaxed; total DFT energy (no corrections) = -12.7 eV for the cell shown; ΔE_f = 274 meV per atom; D(E_F) = 3.5 states/eV/cell
1.0
-2.779 2.779 5.727
2.779 -2.779 5.727
2.779 2.779 -5.727
K Ba Cu
1 2 2
direct
0.000 0.000 0.000
0.250 0.750 0.500
0.750 0.250 0.500
0.397 0.397 0.000
0.603 0.603 0.000

***

K2BaCu | Alexandria via LeMat-Bulk | PBEsol | relaxed; total DFT energy (no corrections) = -7.9 eV for the cell shown; ΔE_f = 209 meV per atom; D(E_F) = 2.9 states/eV/cell
1.0
3.921 -2.273 0.000
3.921 2.273 0.000
-2.743 0.000 11.424
K Ba Cu
2 1 1
direct
0.000 0.000 0.000
0.222 0.222 0.659
0.445 0.445 0.320
0.727 0.727 0.174

***

KBa2Cu | Alexandria via LeMat-Bulk | PBEsol | relaxed; total DFT energy (no corrections) = -9.4 eV for the cell shown; ΔE_f = 87 meV per atom; D(E_F) = 3.7 states/eV/cell
1.0
2.304 1.330 11.164
-2.304 1.330 11.164
0.000 -2.661 11.164
K Ba Cu
1 2 1
direct
0.000 0.000 0.000
0.218 0.218 0.218
0.782 0.782 0.782
0.500 0.500 0.500

***

BaLaCu2 | Alexandria via LeMat-Bulk | PBEsol | relaxed; total DFT energy (no corrections) = -15.4 eV for the cell shown; ΔE_f = 188 meV per atom; D(E_F) = 3.0 states/eV/cell
1.0
2.155 1.244 7.339
-2.155 1.244 7.339
0.000 -2.488 7.339
Ba La Cu
1 1 2
direct
0.000 0.000 0.000
0.500 0.500 0.500
0.238 0.238 0.238
0.762 0.762 0.762